No. 1
Computed, not measured: a geometry-optimized SmZn2GaIr structure at the PBE level of DFT.

Energy relative to the elements (eV per atom): -0.42
DOS at the Fermi energy (states/eV/cell): 5.1
M_tot (Bohr magnetons per cell): 0.000

Cell: 3.9889 4.1581 11.0950 Å, 90.00 90.00 90.00°
Positions (direct):
1 Sm 0.0000 0.0000 0.0000
2 Sm 0.5000 0.5000 0.5000
3 Zn 0.0000 0.0000 0.6099
4 Zn 0.0000 0.5000 0.2492
5 Zn 0.5000 0.0000 0.7492
6 Zn 0.5000 0.5000 0.1099
7 Ga 0.0000 0.0000 0.3832
8 Ga 0.5000 0.5000 0.8832
9 Ir 0.0000 0.5000 0.7453
10 Ir 0.5000 0.0000 0.2453

---

No. 2
Computed, not measured: a geometry-optimized SmZnGaIr structure at the PBE level of DFT.

Energy relative to the elements (eV per atom): -0.55
DOS at the Fermi energy (states/eV/cell): 7.5
Energy above the lowest structure with this stoichiometry (meV per atom): 0
M_tot (Bohr magnetons per cell): 0.000

Cell: 4.3767 4.3767 14.7268 Å, 90.00 90.00 120.00°
Positions (direct):
1 Sm 0.0000 0.0000 0.0000
2 Sm 0.3333 0.6667 0.6667
3 Sm 0.6667 0.3333 0.3333
4 Zn 0.0000 0.0000 0.7944
5 Zn 0.3333 0.6667 0.4611
6 Zn 0.6667 0.3333 0.1277
7 Ga 0.0000 0.0000 0.5413
8 Ga 0.3333 0.6667 0.2080
9 Ga 0.6667 0.3333 0.8746
10 Ir 0.0000 0.0000 0.1977
11 Ir 0.3333 0.6667 0.8643
12 Ir 0.6667 0.3333 0.5310

---

No. 3
Computed, not measured: a geometry-optimized Sm2ZnGa3Ir4 structure at the PBE level of DFT.

Energy relative to the elements (eV per atom): -0.66
DOS at the Fermi energy (states/eV/cell): 5.5
M_tot (Bohr magnetons per cell): 0.000

Cell: 4.2325 4.2325 10.3858 Å, 90.00 90.00 90.00°
Positions (direct):
1 Sm 0.0000 0.5000 0.2411
2 Sm 0.5000 0.0000 0.7589
3 Zn 0.0000 0.0000 0.5000
4 Ga 0.0000 0.5000 0.8728
5 Ga 0.5000 0.0000 0.1272
6 Ga 0.5000 0.5000 0.5000
7 Ir 0.0000 0.0000 0.0000
8 Ir 0.0000 0.5000 0.6359
9 Ir 0.5000 0.0000 0.3641
10 Ir 0.5000 0.5000 0.0000

---

No. 4
Computed, not measured: a geometry-optimized GaSnIr3 structure at the PBE level of DFT.

Energy relative to the elements (eV per atom): 0.96
DOS at the Fermi energy (states/eV/cell): 2.8
M_tot (Bohr magnetons per cell): 0.000

Cell: 4.5723 4.5723 4.5723 Å, 90.00 90.00 90.00°
Positions (direct):
1 Ga 0.0000 0.0000 0.0000
2 Sn 0.5000 0.5000 0.5000
3 Ir 0.0000 0.0000 0.5000
4 Ir 0.0000 0.5000 0.0000
5 Ir 0.5000 0.0000 0.0000

---

No. 5
Computed, not measured: a geometry-optimized GaSnIr structure at the PBE level of DFT.

Energy relative to the elements (eV per atom): -0.04
DOS at the Fermi energy (states/eV/cell): 3.0
M_tot (Bohr magnetons per cell): 0.000

Cell: 3.5720 3.5720 8.2627 Å, 90.00 90.00 90.00°
Positions (direct):
1 Ga 0.0000 0.0000 0.0000
2 Ga 0.5000 0.5000 0.5000
3 Sn 0.0000 0.0000 0.3210
4 Sn 0.5000 0.5000 0.8210
5 Ir 0.0000 0.0000 0.6609
6 Ir 0.5000 0.5000 0.1609

---

No. 6
Computed, not measured: a geometry-optimized GaSnIr structure at the PBE level of DFT.

Energy relative to the elements (eV per atom): -0.24
DOS at the Fermi energy (states/eV/cell): 6.1
M_tot (Bohr magnetons per cell): 0.000

Cell: 7.1145 6.1032 6.9682 Å, 90.00 117.15 90.00°
Positions (direct):
1 Ga 0.0883 0.2316 0.2423
2 Ga 0.0883 0.2684 0.7423
3 Ga 0.9117 0.7316 0.2577
4 Ga 0.9117 0.7684 0.7577
5 Sn 0.4195 0.6992 0.3317
6 Sn 0.4195 0.8008 0.8317
7 Sn 0.5805 0.1992 0.1683
8 Sn 0.5805 0.3008 0.6683
9 Ir 0.2151 0.5076 0.5291
10 Ir 0.2151 0.9924 0.0291
11 Ir 0.7849 0.0076 0.9709
12 Ir 0.7849 0.4924 0.4709

---

No. 7
Computed, not measured: a geometry-optimized GaSnIr2 structure at the PBE level of DFT.

Energy relative to the elements (eV per atom): 0.49
DOS at the Fermi energy (states/eV/cell): 11.3
Energy above the lowest structure with this stoichiometry (meV per atom): 654
M_tot (Bohr magnetons per cell): 0.000

Cell: 5.5829 5.5829 12.2941 Å, 90.00 90.00 90.00°
Positions (direct):
1 Ga 0.0000 0.0000 0.0000
2 Ga 0.0000 0.5000 0.2500
3 Ga 0.5000 0.0000 0.7500
4 Ga 0.5000 0.5000 0.5000
5 Sn 0.0000 0.0000 0.5000
6 Sn 0.0000 0.5000 0.7500
7 Sn 0.5000 0.0000 0.2500
8 Sn 0.5000 0.5000 0.0000
9 Ir 0.2226 0.2500 0.1250
10 Ir 0.2500 0.7226 0.3750
11 Ir 0.2500 0.7774 0.8750
12 Ir 0.2774 0.2500 0.6250
13 Ir 0.7226 0.7500 0.6250
14 Ir 0.7500 0.2226 0.8750
15 Ir 0.7500 0.2774 0.3750
16 Ir 0.7774 0.7500 0.1250

---

No. 8
Computed, not measured: a geometry-optimized GaSnIr2 structure at the PBE level of DFT.

Energy relative to the elements (eV per atom): -0.17
DOS at the Fermi energy (states/eV/cell): 0.8
Energy above the lowest structure with this stoichiometry (meV per atom): 0
M_tot (Bohr magnetons per cell): 0.000

Cell: 3.0238 3.0238 6.9964 Å, 90.00 90.00 90.00°
Positions (direct):
1 Ga 0.0000 0.0000 0.0000
2 Sn 0.0000 0.0000 0.5000
3 Ir 0.5000 0.5000 0.2260
4 Ir 0.5000 0.5000 0.7740

---

| no. | total DFT energy (no corrections) (eV/atom) |
| --- | --- |
| 1 | -4.25 |
| 2 | -5.02 |
| 3 | -6.18 |
| 4 | -5.77 |
| 5 | -5.34 |
| 6 | -5.54 |
| 7 | -5.70 |
| 8 | -6.36 |